Entry from the Alexandria database: crystalline Ac4TlCd2In at its relaxed geometry (PBE).

Computed properties:
The calculation puts the formation energy at -0.35 eV/atom. The energy comes out at -3.27 eV per atom.

Lattice parameters (Å, degrees): 5.7981 5.7981 10.0456 73.23 73.23 60.00
Sites, in units of the cell vectors:
Ac1 0.6246 0.6246 0.1262
In1 0.5000 0.5000 0.5000
Cd1 0.7505 0.7505 0.7484
Ac2 0.8746 0.8746 0.3762
Ac3 0.3754 0.3754 0.8738
Cd2 0.2495 0.2495 0.2516
Tl1 0.0000 0.0000 0.0000
Ac4 0.1254 0.1254 0.6238

---

Entry from the Alexandria database: crystalline BaLiCl4 at its relaxed geometry (PBE).

Computed properties:
The energy comes out at -2.80 eV per atom.

Lattice parameters (Å, degrees): 6.1722 6.1722 6.1722 60.00 60.00 60.00
Sites, in units of the cell vectors:
Ba1 0.0000 0.0000 0.0000
Cl1 0.3751 0.3751 0.3751
Cl2 0.8747 0.3751 0.3751
Li1 0.7500 0.7500 0.7500
Cl3 0.3751 0.8747 0.3751
Cl4 0.3751 0.3751 0.8747

---

Entry from the Alexandria database: crystalline Ag4TeN2 at its relaxed geometry (PBE).

Computed properties:
The energy comes out at -3.05 eV per atom.

Lattice parameters (Å, degrees): 5.2947 5.2947 7.2657 68.63 68.63 90.00
Sites, in units of the cell vectors:
Ag1 0.2180 0.2180 0.5640
Ag2 0.0000 0.5000 0.0000
Ag3 0.7820 0.7820 0.4360
Ag4 0.5000 0.0000 0.0000
N1 0.3819 0.3819 0.2362
N2 0.6181 0.6181 0.7638
Te1 0.0000 0.0000 0.0000

---

Entry from the Alexandria database: crystalline TlReSb2 at its relaxed geometry (PBE).

Computed properties:
The energy comes out at -5.08 eV per atom.

Lattice parameters (Å, degrees): 4.8641 4.0288 5.3111 67.52 90.00 90.00
Sites, in units of the cell vectors:
Sb1 0.0000 0.8084 0.0025
Sb2 0.5000 0.2284 0.1691
Tl1 0.0000 0.5280 0.5680
Re1 0.5000 0.9351 0.7604

---

Entry from the Alexandria database: crystalline Ac8TeRu3Br4 at its relaxed geometry (PBE).

Computed properties:
The energy comes out at -5.35 eV per atom.

Lattice parameters (Å, degrees): 8.9954 9.6372 8.9957 117.83 120.00 90.00
Sites, in units of the cell vectors:
Br1 0.5000 0.0000 0.0000
Ac1 0.7520 0.3037 0.0517
Ac2 0.2480 0.6963 0.9483
Ac3 0.2480 0.6959 0.4960
Ru1 0.5000 0.5000 0.5000
Ac4 0.7003 0.6963 0.9483
Ac5 0.2997 0.3037 0.0517
Br2 0.0000 0.0000 0.0000
Ru2 0.0000 0.5000 0.5000
Br3 0.0000 0.0000 0.5000
Ac6 0.7343 0.7032 0.4686
Te1 0.0000 0.5000 0.0000
Ru3 0.5000 0.5000 0.0000
Ac7 0.2657 0.2968 0.5314
Br4 0.5000 0.0000 0.5000
Ac8 0.7520 0.3041 0.5040

---

Entry from the Alexandria database: crystalline Cs2LiHfTi at its relaxed geometry (PBE).

Computed properties:
The calculation puts the formation energy at 1.30 eV/atom. The energy comes out at -3.00 eV per atom.

Lattice parameters (Å, degrees): 7.3428 4.8794 7.3428 90.00 90.00 90.00
Sites, in units of the cell vectors:
Hf1 0.0000 0.0000 0.0000
Li1 0.5000 0.5000 0.5000
Cs1 0.5000 0.0000 0.0000
Cs2 0.0000 0.0000 0.5000
Ti1 0.0000 0.5000 0.0000

---

Entry from the Alexandria database: crystalline TlCl3 at its relaxed geometry (PBE).

Computed properties:
The energy comes out at -2.18 eV per atom.

Lattice parameters (Å, degrees): 6.0837 6.0837 6.0837 135.25 123.14 75.12
Sites, in units of the cell vectors:
Cl1 0.9091 0.2500 0.6591
Tl1 0.4738 0.7500 0.7238
Cl2 0.0315 0.0563 0.9752
Cl3 0.4189 0.4437 0.9752

---

Entry from the Alexandria database: crystalline HgH2AuF8 at its relaxed geometry (PBE).

Computed properties:
The energy comes out at -3.32 eV per atom.

Lattice parameters (Å, degrees): 4.8339 4.9980 7.0859 94.84 88.33 75.95
Sites, in units of the cell vectors:
H1 0.2842 0.4576 0.6591
F1 0.6681 0.7081 0.4358
F2 0.2601 0.2434 0.0009
F3 0.7889 0.2569 0.2626
Au1 0.0000 0.0000 0.0000
F4 0.7399 0.7566 0.9991
Hg1 0.0000 0.0000 0.5000
F5 0.2111 0.7431 0.7374
H2 0.7158 0.5424 0.3409
F6 0.7999 0.2050 0.7930
F7 0.3319 0.2919 0.5642
F8 0.2001 0.7950 0.2070

---

What did the second record say?
Entry from the Alexandria database: crystalline BaLiCl4 at its relaxed geometry (PBE).

Computed properties:
The energy comes out at -2.80 eV per atom.

Lattice parameters (Å, degrees): 6.1722 6.1722 6.1722 60.00 60.00 60.00
Sites, in units of the cell vectors:
Ba1 0.0000 0.0000 0.0000
Cl1 0.3751 0.3751 0.3751
Cl2 0.8747 0.3751 0.3751
Li1 0.7500 0.7500 0.7500
Cl3 0.3751 0.8747 0.3751
Cl4 0.3751 0.3751 0.8747

---

Q: Among the records above, which one has the highest energy?
A: TlCl3